[1]
Here is a relaxed NiPdSe crystal from Alexandria via LeMat-Bulk. Energies are from GGA-PBE.

Cell and atoms, written as POSCAR:
```
NiPdSe
1.0
3.519 0.000 0.000
-1.759 3.609 -0.672
0.000 -2.407 9.066
Ni Pd Se
2 2 2
Direct
0.825 0.650 0.765
0.175 0.350 0.235
0.399 0.798 0.086
0.601 0.202 0.914
0.900 0.799 0.302
0.100 0.201 0.698
```

Results
Uncorrected energy ... -4.888 eV per atom
E_form (uncorrected) ... -0.2 eV per formula unit
Spin magnetization ... 0.000 μB/atom

=====

[2]
Here is a relaxed RbScOs2 crystal from Alexandria via LeMat-Bulk. Energies are from GGA-PBE.

Cell and atoms, written as POSCAR:
```
RbScOs2
1.0
0.000 3.385 3.385
3.385 0.000 3.385
3.385 3.385 0.000
Sc Os Rb
1 2 1
Direct
0.000 0.000 0.000
0.250 0.250 0.250
0.750 0.750 0.750
0.500 0.500 0.500
```

Results
Uncorrected energy ... -5.884 eV per atom
Spin magnetization ... 0.000 μB/atom
ΔE_f ... 1.556 eV/atom

=====

[3]
Here is a relaxed LiInP2 crystal from Alexandria via LeMat-Bulk. Energies are from GGA-PBE.

Cell and atoms, written as POSCAR:
```
LiInP2
1.0
-1.581 2.009 1.925
-2.393 0.148 -2.120
-3.195 -5.595 3.216
In Li P
1 1 2
Direct
0.000 0.000 0.512
0.500 0.500 0.800
0.000 0.000 0.035
0.500 0.500 0.153
```

Results
Uncorrected energy ... -3.872 eV per atom
Spin magnetization ... 0.000 μB/atom
ΔE_f ... -0.004 eV/atom

=====

[4]
Here is a relaxed Ho3Si2Pd crystal from Alexandria via LeMat-Bulk. Energies are from GGA-PBE.

Cell and atoms, written as POSCAR:
```
Ho3Si2Pd
1.0
4.228 0.000 0.000
0.000 11.218 0.000
0.000 0.000 11.403
Ho Si Pd
12 8 4
Direct
0.250 0.375 0.054
0.750 0.625 0.946
0.750 0.875 0.446
0.250 0.125 0.554
0.250 0.693 0.213
0.750 0.307 0.787
0.750 0.193 0.287
0.250 0.807 0.713
0.250 0.438 0.377
0.750 0.562 0.623
0.750 0.938 0.123
0.250 0.062 0.877
0.250 0.688 0.484
0.750 0.312 0.516
0.750 0.188 0.016
0.250 0.812 0.984
0.250 0.998 0.312
0.750 0.002 0.688
0.750 0.498 0.188
0.250 0.502 0.812
0.250 0.130 0.129
0.750 0.870 0.871
0.750 0.630 0.371
0.250 0.370 0.629
```

Results
Uncorrected energy ... -5.779 eV per atom
E_form (uncorrected) ... -4.9 eV per formula unit
Spin magnetization ... 0.000 μB/atom

=====

[5]
Here is a relaxed Pa6RhS12 crystal from Alexandria via LeMat-Bulk. Energies are from GGA-PBE.

Cell and atoms, written as POSCAR:
```
Pa6RhS12
1.0
-0.782 -5.587 -5.332
7.720 0.082 0.806
-2.026 -3.893 6.403
Pa Rh S
6 1 12
Direct
0.709 0.871 0.377
0.623 0.291 0.129
0.129 0.623 0.291
0.291 0.129 0.623
0.377 0.709 0.871
0.871 0.377 0.709
0.000 0.000 0.000
0.822 0.569 0.428
0.428 0.822 0.569
0.569 0.428 0.822
0.178 0.431 0.572
0.572 0.178 0.431
0.431 0.572 0.178
0.062 0.956 0.310
0.044 0.690 0.938
0.690 0.938 0.044
0.938 0.044 0.690
0.956 0.310 0.062
0.310 0.062 0.956
```

Results
Uncorrected energy ... -7.420 eV per atom
E_form (uncorrected) ... -27.1 eV per formula unit
Spin magnetization ... 0.314 μB/atom

=====

[6]
Here is a relaxed KMn3Pb crystal from Alexandria via LeMat-Bulk. Energies are from GGA-PBE.

Cell and atoms, written as POSCAR:
```
KMn3Pb
1.0
-2.767 4.069 2.066
-4.199 -1.326 -3.014
-1.785 -3.188 3.889
Pb K Mn
1 1 3
Direct
0.000 0.000 0.000
0.500 0.500 0.500
0.000 0.500 0.000
0.000 0.000 0.500
0.500 0.000 0.000
```

Results
Uncorrected energy ... -5.378 eV per atom
Spin magnetization ... 2.413 μB/atom
ΔE_f ... 1.085 eV/atom

=====

[7]
Here is a relaxed Ho3PuAg4S8 crystal from Alexandria via LeMat-Bulk. Energies are from GGA-PBE.

Cell and atoms, written as POSCAR:
```
Ho3PuAg4S8
1.0
8.065 0.000 0.000
0.000 7.688 -0.283
-4.032 -4.037 5.694
Ho Pu Ag S
3 1 4 8
Direct
0.500 0.500 0.000
0.500 0.500 0.500
0.000 0.500 0.500
0.000 0.500 0.000
0.500 0.000 0.000
0.500 0.000 0.500
0.000 0.000 0.000
0.000 0.000 0.500
0.249 0.741 0.993
0.249 0.741 0.499
0.253 0.259 0.505
0.743 0.741 0.993
0.257 0.259 0.007
0.747 0.741 0.495
0.751 0.259 0.501
0.751 0.259 0.007
```

Results
Uncorrected energy ... -5.735 eV per atom
E_form (uncorrected) ... -19.3 eV per formula unit
Spin magnetization ... 0.312 μB/atom

=====

[8]
Here is a relaxed Mg2ScTl2 crystal from Alexandria via LeMat-Bulk. Energies are from GGA-PBE.

Cell and atoms, written as POSCAR:
```
Mg2ScTl2
1.0
4.884 0.000 0.000
-2.442 4.230 0.000
0.000 0.000 12.706
Mg Sc Tl
4 2 4
Direct
0.667 0.333 0.750
0.000 0.000 0.000
0.000 0.000 0.500
0.333 0.667 0.250
0.000 0.000 0.250
0.000 0.000 0.750
0.333 0.667 0.620
0.667 0.333 0.120
0.667 0.333 0.380
0.333 0.667 0.880
```

Results
Uncorrected energy ... -2.715 eV per atom
Spin magnetization ... 0.000 μB/atom
ΔE_f ... 0.136 eV/atom

=====

[9]
Here is a relaxed CsSn3Pb crystal from Alexandria via LeMat-Bulk. Energies are from GGA-PBE.

Cell and atoms, written as POSCAR:
```
CsSn3Pb
1.0
7.197 -0.003 0.004
0.002 7.261 0.004
0.003 0.004 6.952
Cs Sn Pb
2 6 2
Direct
0.475 0.438 0.701
0.975 0.915 0.201
0.321 0.271 0.201
0.478 0.942 0.951
0.977 0.411 0.451
0.822 0.082 0.701
0.978 0.411 0.951
0.478 0.942 0.451
0.126 0.781 0.701
0.626 0.571 0.200
```

Results
Uncorrected energy ... -3.338 eV per atom
Spin magnetization ... 0.000 μB/atom
ΔE_f ... -0.023 eV/atom

=====

[10]
Here is a relaxed RbBaAg2 crystal from Alexandria via LeMat-Bulk. Energies are from GGA-PBE.

Cell and atoms, written as POSCAR:
```
RbBaAg2
1.0
9.163 0.000 0.000
0.000 9.163 0.000
4.582 4.582 4.087
Rb Ba Ag
2 2 4
Direct
0.500 0.500 0.000
0.250 0.750 0.500
0.000 0.000 0.000
0.750 0.250 0.500
0.635 0.125 0.250
0.115 0.625 0.250
0.375 0.365 0.750
0.875 0.885 0.750
```

Results
Uncorrected energy ... -2.008 eV per atom
Spin magnetization ... 0.000 μB/atom
ΔE_f ... 0.140 eV/atom

=====

[11]
Here is a relaxed RbTa4Se8 crystal from Alexandria via LeMat-Bulk. Energies are from GGA-PBE.

Cell and atoms, written as POSCAR:
```
RbTa4Se8
1.0
7.735 0.000 0.000
3.867 6.698 0.000
3.867 2.233 6.315
Rb Ta Se
1 4 8
Direct
0.750 0.750 0.750
0.929 0.357 0.357
0.357 0.929 0.357
0.357 0.357 0.929
0.357 0.357 0.357
0.635 0.122 0.122
0.122 0.635 0.122
0.122 0.122 0.635
0.122 0.122 0.122
0.201 0.600 0.600
0.600 0.201 0.600
0.600 0.600 0.201
0.600 0.600 0.600
```

Results
Uncorrected energy ... -6.445 eV per atom
E_form (uncorrected) ... -7.5 eV per formula unit
Spin magnetization ... 0.000 μB/atom

=====

[12]
Here is a relaxed AcPm3PrSm crystal from Alexandria via LeMat-Bulk. Energies are from GGA-PBE.

Cell and atoms, written as POSCAR:
```
AcPm3PrSm
1.0
-1.641 1.489 -4.764
-5.217 -6.464 -0.224
-3.977 9.443 4.321
Ac Pm Pr Sm
2 6 2 2
Direct
0.250 0.126 0.292
0.750 0.874 0.708
0.750 0.870 0.040
0.250 0.130 0.960
0.250 0.625 0.455
0.750 0.375 0.545
0.750 0.378 0.208
0.250 0.622 0.792
0.250 0.621 0.125
0.750 0.379 0.875
0.250 0.128 0.626
0.750 0.872 0.374
```

Results
Uncorrected energy ... -4.614 eV per atom
Spin magnetization ... 0.000 μB/atom
ΔE_f ... 0.029 eV/atom